VASP calculation (PBE-GGA) on a relaxed structure of Ba2Cd9In3.

CIF file:
```
data_Ba2Cd9In3
_cell_length_a 9.0361
_cell_length_b 9.0361
_cell_length_c 10.5873
_cell_angle_alpha 90.00
_cell_angle_beta 90.00
_cell_angle_gamma 119.50
_space_group_name_H-M_alt 'P 1'
_space_group_IT_number 1
loop_
_space_group_symop_operation_xyz
'x,y,z'
loop_
_atom_site_label
_atom_site_fract_x
_atom_site_fract_y
_atom_site_fract_z
Cd1 0.1482 0.1482 0.2500
In1 0.6872 0.3128 0.5000
Cd2 0.6606 0.6606 0.0515
Cd3 0.5446 0.3552 0.2500
In2 0.3128 0.6872 0.0000
In3 0.0000 0.0000 0.5000
Cd4 0.6606 0.6606 0.4485
In4 0.0000 0.0000 0.0000
Cd5 0.3417 0.0225 0.4070
Ba1 0.0021 0.3245 0.7500
Ba2 0.6755 0.9979 0.2500
Ba3 0.9979 0.6755 0.2500
Cd6 0.9775 0.6583 0.9070
Cd7 0.6448 0.4554 0.7500
Cd8 0.3417 0.0225 0.0930
Ba4 0.3245 0.0021 0.7500
Cd9 0.8518 0.8518 0.7500
Cd10 0.6583 0.9775 0.5930
Cd11 0.3394 0.3394 0.5515
Cd12 0.0225 0.3417 0.4070
Cd13 0.3394 0.3394 0.9485
In5 0.3128 0.6872 0.5000
Cd14 0.6583 0.9775 0.9070
Cd15 0.0225 0.3417 0.0930
Cd16 0.3552 0.5446 0.2500
Cd17 0.9775 0.6583 0.5930
In6 0.6872 0.3128 0.0000
Cd18 0.4554 0.6448 0.7500
```

Output
The total energy is -1.676 eV per atom. The density of states at the Fermi level is 0.31 states/eV per atom. The magnetic moment is 0.000 μB per atom. The value obtained for the formation enthalpy at 0 K is -21.9 kJ/mol of atoms. The calculation puts the volume at 376.2 Å³/f.u.

VASP calculation (PBE-GGA) on a relaxed structure of BaCd10In2.

CIF file:
```
data_BaCd10In2
_cell_length_a 6.1589
_cell_length_b 7.8553
_cell_length_c 7.9737
_cell_angle_alpha 81.29
_cell_angle_beta 67.28
_cell_angle_gamma 66.92
_space_group_name_H-M_alt 'P 1'
_space_group_IT_number 1
loop_
_space_group_symop_operation_xyz
'x,y,z'
loop_
_atom_site_label
_atom_site_fract_x
_atom_site_fract_y
_atom_site_fract_z
In1 0.5000 0.5000 0.0000
Cd1 0.3580 0.6474 0.6367
Cd2 0.0054 0.3526 0.6367
Cd3 0.2828 0.2136 0.2207
Cd4 0.5035 0.2136 0.7793
Cd5 0.7172 0.7864 0.7793
Cd6 0.4965 0.7864 0.2207
Ba1 0.0000 0.0000 0.0000
Cd7 0.0000 0.0000 0.5000
In2 0.0000 0.5000 0.0000
Cd8 0.6420 0.3526 0.3633
Cd9 0.9946 0.6474 0.3633
Cd10 0.5000 0.0000 0.5000
```

Output
The total energy is -1.388 eV per atom. The density of states at the Fermi level is 0.28 states/eV per atom. The magnetic moment is 0.000 μB per atom. The value obtained for the formation enthalpy at 0 K is -11.1 kJ/mol of atoms. The calculation puts the volume at 327.4 Å³/f.u.

VASP calculation (PBE-GGA) on a relaxed structure of Ba3Cd6In5.

CIF file:
```
data_Ba3Cd6In5
_cell_length_a 5.1110
_cell_length_b 10.7361
_cell_length_c 15.0255
_cell_angle_alpha 90.00
_cell_angle_beta 90.00
_cell_angle_gamma 90.00
_space_group_name_H-M_alt 'P 1'
_space_group_IT_number 1
loop_
_space_group_symop_operation_xyz
'x,y,z'
loop_
_atom_site_label
_atom_site_fract_x
_atom_site_fract_y
_atom_site_fract_z
In1 0.0000 0.8841 0.6592
In2 0.5000 0.1159 0.8408
Cd1 0.0000 0.9763 0.1464
Cd2 0.0000 0.6100 0.3378
In3 0.5000 0.2408 0.5000
In4 0.5000 0.4706 0.6374
In5 0.5000 0.4706 0.3626
Cd3 0.5000 0.3900 0.1622
Cd4 0.0000 0.9763 0.8536
Cd5 0.5000 0.0237 0.6464
In6 0.0000 0.7592 0.0000
Ba1 0.5000 0.7508 0.8024
In7 0.0000 0.5294 0.1374
Ba2 0.0000 0.2450 0.0000
Ba3 0.0000 0.2492 0.3024
Cd6 0.5000 0.0237 0.3536
In8 0.0000 0.8841 0.3408
Cd7 0.0000 0.0508 0.5000
Cd8 0.5000 0.5526 0.0000
In9 0.0000 0.5294 0.8626
Ba4 0.0000 0.2492 0.6976
Cd9 0.0000 0.6100 0.6622
Cd10 0.0000 0.4474 0.5000
Ba5 0.5000 0.7508 0.1976
In10 0.5000 0.1159 0.1592
Cd11 0.5000 0.3900 0.8378
Ba6 0.5000 0.7550 0.5000
Cd12 0.5000 0.9492 0.0000
```

Output
The total energy is -2.103 eV per atom. The density of states at the Fermi level is 0.54 states/eV per atom. The magnetic moment is 0.000 μB per atom. The value obtained for the formation enthalpy at 0 K is -31.0 kJ/mol of atoms. The calculation puts the volume at 412.2 Å³/f.u.

VASP calculation (PBE-GGA) on a relaxed structure of Ba2CdIn.

CIF file:
```
data_Ba2CdIn
_cell_length_a 4.2388
_cell_length_b 4.2441
_cell_length_c 9.3062
_cell_angle_alpha 90.00
_cell_angle_beta 90.00
_cell_angle_gamma 90.00
_space_group_name_H-M_alt 'P 1'
_space_group_IT_number 1
loop_
_space_group_symop_operation_xyz
'x,y,z'
loop_
_atom_site_label
_atom_site_fract_x
_atom_site_fract_y
_atom_site_fract_z
In1 0.5000 0.5000 0.7055
Cd1 0.0000 0.0000 0.5397
Ba1 0.5000 0.5000 0.3230
Ba2 0.0000 0.0000 0.9318
```

Output
The total energy is -2.063 eV per atom. The density of states at the Fermi level is 0.87 states/eV per atom. The magnetic moment is 0.000 μB per atom. The value obtained for the formation enthalpy at 0 K is -18.1 kJ/mol of atoms. The calculation puts the volume at 167.4 Å³/f.u.

VASP calculation (PBE-GGA) on a relaxed structure of BaCd2In6.

CIF file:
```
data_BaCd2In6
_cell_length_a 9.6816
_cell_length_b 9.6816
_cell_length_c 9.6816
_cell_angle_alpha 60.00
_cell_angle_beta 60.00
_cell_angle_gamma 60.00
_space_group_name_H-M_alt 'P 1'
_space_group_IT_number 1
loop_
_space_group_symop_operation_xyz
'x,y,z'
loop_
_atom_site_label
_atom_site_fract_x
_atom_site_fract_y
_atom_site_fract_z
In1 0.4957 0.0043 0.0043
In2 0.0043 0.4957 0.0043
In3 0.2457 0.2457 0.7543
In4 0.2457 0.7543 0.2457
In5 0.4957 0.4957 0.0043
Cd1 0.1250 0.1250 0.6250
In6 0.0043 0.0043 0.4957
In7 0.7543 0.2457 0.2457
Cd2 0.1250 0.6250 0.1250
In8 0.0043 0.4957 0.4957
Ba1 0.7500 0.7500 0.7500
In9 0.4957 0.0043 0.4957
In10 0.7543 0.7543 0.2457
Cd3 0.1250 0.1250 0.1250
In11 0.2457 0.7543 0.7543
Cd4 0.6250 0.1250 0.1250
In12 0.7543 0.2457 0.7543
Ba2 0.5000 0.5000 0.5000
```

Output
The total energy is -2.106 eV per atom. The density of states at the Fermi level is 0.83 states/eV per atom. The magnetic moment is 0.000 μB per atom. The value obtained for the formation enthalpy at 0 K is 13.2 kJ/mol of atoms. The calculation puts the volume at 320.8 Å³/f.u.

VASP calculation (PBE-GGA) on a relaxed structure of BaCdIn.

CIF file:
```
data_BaCdIn
_cell_length_a 8.5908
_cell_length_b 5.2848
_cell_length_c 12.0860
_cell_angle_alpha 90.00
_cell_angle_beta 133.60
_cell_angle_gamma 90.00
_space_group_name_H-M_alt 'P 1'
_space_group_IT_number 1
loop_
_space_group_symop_operation_xyz
'x,y,z'
loop_
_atom_site_label
_atom_site_fract_x
_atom_site_fract_y
_atom_site_fract_z
Ba1 0.2994 0.5000 0.0445
In1 0.8971 0.0000 0.8379
In2 0.1029 0.0000 0.1621
Cd1 0.2735 0.0000 0.8347
Cd2 0.2735 0.5000 0.3347
In3 0.1029 0.5000 0.6621
Ba2 0.7006 0.5000 0.9555
Cd3 0.7265 0.5000 0.6653
In4 0.8971 0.5000 0.3379
Ba3 0.2994 0.0000 0.5445
Ba4 0.7006 0.0000 0.4555
Cd4 0.7265 0.0000 0.1653
```

Output
The total energy is -2.269 eV per atom. The density of states at the Fermi level is 0.61 states/eV per atom. The magnetic moment is 0.000 μB per atom. The value obtained for the formation enthalpy at 0 K is -39.6 kJ/mol of atoms. The calculation puts the volume at 99.3 Å³/f.u.

VASP calculation (PBE-GGA) on a relaxed structure of Ba2CdIn.

CIF file:
```
data_Ba2CdIn
_cell_length_a 9.4807
_cell_length_b 9.4807
_cell_length_c 7.7577
_cell_angle_alpha 52.33
_cell_angle_beta 52.33
_cell_angle_gamma 90.00
_space_group_name_H-M_alt 'P 1'
_space_group_IT_number 1
loop_
_space_group_symop_operation_xyz
'x,y,z'
loop_
_atom_site_label
_atom_site_fract_x
_atom_site_fract_y
_atom_site_fract_z
Ba1 0.1330 0.6250 0.2500
In1 0.7500 0.2500 0.5000
Ba2 0.3750 0.3830 0.7500
Ba3 0.8750 0.8670 0.7500
Cd1 0.5000 0.5000 0.0000
In2 0.0000 0.0000 0.0000
Cd2 0.2500 0.7500 0.5000
Ba4 0.6170 0.1250 0.2500
```

Output
The total energy is -1.909 eV per atom. The density of states at the Fermi level is 1.49 states/eV per atom. The magnetic moment is 0.003 μB per atom. The value obtained for the formation enthalpy at 0 K is -3.4 kJ/mol of atoms. The calculation puts the volume at 175.5 Å³/f.u.

VASP calculation (PBE-GGA) on a relaxed structure of Ba3Cd2In4.

CIF file:
```
data_Ba3Cd2In4
_cell_length_a 5.2054
_cell_length_b 6.7683
_cell_length_c 10.0473
_cell_angle_alpha 106.43
_cell_angle_beta 90.00
_cell_angle_gamma 112.62
_space_group_name_H-M_alt 'P 1'
_space_group_IT_number 1
loop_
_space_group_symop_operation_xyz
'x,y,z'
loop_
_atom_site_label
_atom_site_fract_x
_atom_site_fract_y
_atom_site_fract_z
In1 0.2713 0.5427 0.9335
Cd1 0.3429 0.6857 0.6758
In2 0.7287 0.4573 0.0665
In3 0.0876 0.1752 0.4160
Ba1 0.3563 0.7125 0.3183
Ba2 0.6437 0.2875 0.6817
Ba3 0.0000 0.0000 0.0000
Cd2 0.6571 0.3143 0.3242
In4 0.9124 0.8248 0.5840
```

Output
The total energy is -2.459 eV per atom. The density of states at the Fermi level is 0.80 states/eV per atom. The magnetic moment is 0.000 μB per atom. The value obtained for the formation enthalpy at 0 K is -38.3 kJ/mol of atoms. The calculation puts the volume at 311.1 Å³/f.u.

VASP calculation (PBE-GGA) on a relaxed structure of Ba5CdIn4.

CIF file:
```
data_Ba5CdIn4
_cell_length_a 4.2814
_cell_length_b 4.2814
_cell_length_c 21.3196
_cell_angle_alpha 90.00
_cell_angle_beta 90.00
_cell_angle_gamma 90.00
_space_group_name_H-M_alt 'P 1'
_space_group_IT_number 1
loop_
_space_group_symop_operation_xyz
'x,y,z'
loop_
_atom_site_label
_atom_site_fract_x
_atom_site_fract_y
_atom_site_fract_z
Ba1 0.5000 0.5000 0.3003
In1 0.0000 0.0000 0.6006
In2 0.0000 0.0000 0.3994
In3 0.0000 0.0000 0.7987
Ba2 0.5000 0.5000 0.6997
Cd1 0.0000 0.0000 0.0000
Ba3 0.5000 0.5000 0.5000
Ba4 0.5000 0.5000 0.1015
Ba5 0.5000 0.5000 0.8985
In4 0.0000 0.0000 0.2013
```

Output
The total energy is -2.528 eV per atom. The density of states at the Fermi level is 0.76 states/eV per atom. The magnetic moment is 0.000 μB per atom. The value obtained for the formation enthalpy at 0 K is -36.6 kJ/mol of atoms. The calculation puts the volume at 390.8 Å³/f.u.

VASP calculation (PBE-GGA) on a relaxed structure of BaCdIn2.

CIF file:
```
data_BaCdIn2
_cell_length_a 5.5277
_cell_length_b 5.5277
_cell_length_c 5.6025
_cell_angle_alpha 119.79
_cell_angle_beta 119.79
_cell_angle_gamma 89.20
_space_group_name_H-M_alt 'P 1'
_space_group_IT_number 1
loop_
_space_group_symop_operation_xyz
'x,y,z'
loop_
_atom_site_label
_atom_site_fract_x
_atom_site_fract_y
_atom_site_fract_z
In1 0.2485 0.7515 0.5000
Ba1 0.5001 0.4999 0.0000
Cd1 0.7515 0.2485 0.5000
In2 0.9999 0.0001 0.0000
```

Output
The total energy is -2.343 eV per atom. The density of states at the Fermi level is 0.38 states/eV per atom. The magnetic moment is 0.000 μB per atom. The value obtained for the formation enthalpy at 0 K is -25.6 kJ/mol of atoms. The calculation puts the volume at 122.6 Å³/f.u.

VASP calculation (PBE-GGA) on a relaxed structure of Ba2Cd3In.

CIF file:
```
data_Ba2Cd3In
_cell_length_a 6.7415
_cell_length_b 6.7415
_cell_length_c 10.5189
_cell_angle_alpha 112.67
_cell_angle_beta 112.67
_cell_angle_gamma 78.30
_space_group_name_H-M_alt 'P 1'
_space_group_IT_number 1
loop_
_space_group_symop_operation_xyz
'x,y,z'
loop_
_atom_site_label
_atom_site_fract_x
_atom_site_fract_y
_atom_site_fract_z
Cd1 0.3347 0.3347 0.1669
In1 0.3340 0.3340 0.6680
Cd2 0.1678 0.1678 0.8331
Ba1 0.2500 0.7500 0.5000
Cd3 0.1672 0.1672 0.3345
Cd4 0.8322 0.8322 0.1669
Cd5 0.6653 0.6653 0.8331
In2 0.6660 0.6660 0.3320
Ba2 0.7546 0.2454 0.0000
Cd6 0.8328 0.8328 0.6655
Ba3 0.7500 0.2500 0.5000
Ba4 0.2454 0.7546 0.0000
```

Output
The total energy is -1.903 eV per atom. The density of states at the Fermi level is 0.95 states/eV per atom. The magnetic moment is 0.000 μB per atom. The value obtained for the formation enthalpy at 0 K is -33.6 kJ/mol of atoms. The calculation puts the volume at 203.1 Å³/f.u.

VASP calculation (PBE-GGA) on a relaxed structure of Ba2CdIn.

CIF file:
```
data_Ba2CdIn
_cell_length_a 6.4536
_cell_length_b 6.4536
_cell_length_c 6.4536
_cell_angle_alpha 131.67
_cell_angle_beta 131.67
_cell_angle_gamma 70.75
_space_group_name_H-M_alt 'P 1'
_space_group_IT_number 1
loop_
_space_group_symop_operation_xyz
'x,y,z'
loop_
_atom_site_label
_atom_site_fract_x
_atom_site_fract_y
_atom_site_fract_z
Ba1 0.2500 0.7500 0.5000
Cd1 0.5000 0.5000 0.0000
Ba2 0.0000 0.0000 0.0000
In1 0.7500 0.2500 0.5000
```

Output
The total energy is -2.096 eV per atom. The density of states at the Fermi level is 0.82 states/eV per atom. The magnetic moment is 0.000 μB per atom. The value obtained for the formation enthalpy at 0 K is -21.4 kJ/mol of atoms. The calculation puts the volume at 146.9 Å³/f.u.

formation enthalpy at 0 K of number 2 (BaCd10In2)?
-11.1 kJ/mol of atoms